Entry 1:
A plane-wave DFT calculation with PBE-GGA was carried out for crystalline MgBe3Se at its relaxed geometry.

Cell and atoms, written as POSCAR:
```
MgBe3Se
1.0
4.5587 0.0000 0.0000
0.0000 4.5587 0.0000
0.0000 0.0000 4.5587
Be Mg Se
3 1 1
Direct
0.0000 0.5000 0.0000
0.0000 0.0000 0.5000
0.5000 0.0000 0.0000
0.0000 0.0000 0.0000
0.5000 0.5000 0.5000
```

## Properties
The magnetization is 0.0 μB per cell. For the excess energy over the best structure of this formula in the dataset, the calculation gives 58.8 kJ per mole of atoms. The calculation puts the energy relative to the elements, uncorrected at 7.55 eV/f.u. For the volume, the calculation gives 18.9 A^3/atom.

Entry 2:
A plane-wave DFT calculation with PBE-GGA was carried out for crystalline MgBe2Se at its relaxed geometry.

Cell and atoms, written as POSCAR:
```
MgBe2Se
1.0
-1.8759 2.0995 -4.2647
-4.4713 -1.6414 -1.8512
1.9401 1.5380 4.4704
Be Mg Se
2 1 1
Direct
0.0000 0.0000 0.0000
0.2500 0.7500 0.5000
0.5000 0.5000 0.0000
0.7500 0.2500 0.5000
```

## Properties
The magnetization is 0.0 μB per cell. For the excess energy over the best structure of this formula in the dataset, the calculation gives 36.3 kJ per mole of atoms. The calculation puts the energy relative to the elements, uncorrected at 1.53 eV/f.u. For the volume, the calculation gives 14.6 A^3/atom.

Entry 3:
A plane-wave DFT calculation with PBE-GGA was carried out for crystalline Mg2BeSe at its relaxed geometry.

Cell and atoms, written as POSCAR:
```
Mg2BeSe
1.0
-5.4596 2.0075 4.0263
-4.4029 -3.6854 -4.1328
-4.4939 -3.5329 1.8831
Be Mg Se
2 4 2
Direct
0.5000 0.5000 0.0000
0.2500 0.7500 0.5000
0.6281 0.1250 0.2500
0.1219 0.6250 0.2500
0.3750 0.3719 0.7500
0.8750 0.8781 0.7500
0.0000 0.0000 0.0000
0.7500 0.2500 0.5000
```

## Properties
The magnetization is 0.0 μB per cell. For the excess energy over the best structure of this formula in the dataset, the calculation gives 22.1 kJ per mole of atoms. The calculation puts the energy relative to the elements, uncorrected at 0.23 eV/f.u. For the volume, the calculation gives 20.9 A^3/atom.

Entry 4:
A plane-wave DFT calculation with PBE-GGA was carried out for crystalline Mg3BeSe at its relaxed geometry.

Cell and atoms, written as POSCAR:
```
Mg3BeSe
1.0
-0.1991 -3.2958 3.4268
4.6279 -0.9205 -0.6164
1.0898 3.3068 3.2437
Be Mg Se
1 3 1
Direct
0.0000 0.0000 0.0000
0.0000 0.5000 0.0000
0.0000 0.0000 0.5000
0.5000 0.0000 0.0000
0.5000 0.5000 0.5000
```

## Properties
The magnetization is 0.0 μB per cell. For the excess energy over the best structure of this formula in the dataset, the calculation gives 0.0 kJ per mole of atoms. The calculation puts the energy relative to the elements, uncorrected at 0.60 eV/f.u. For the volume, the calculation gives 21.6 A^3/atom.

Entry 5:
A plane-wave DFT calculation with PBE-GGA was carried out for crystalline Mg2BeSe at its relaxed geometry.

Cell and atoms, written as POSCAR:
```
Mg2BeSe
1.0
3.5790 0.0000 0.0000
0.0000 4.5126 0.0000
0.0000 0.0000 4.5126
Be Mg Se
1 2 1
Direct
0.5000 0.0000 0.5000
0.0000 0.0000 0.0000
0.0000 0.5000 0.5000
0.5000 0.5000 0.0000
```

## Properties
The magnetization is 0.0 μB per cell. For the excess energy over the best structure of this formula in the dataset, the calculation gives 19.6 kJ per mole of atoms. The calculation puts the energy relative to the elements, uncorrected at 0.13 eV/f.u. For the volume, the calculation gives 18.2 A^3/atom.

Entry 6:
A plane-wave DFT calculation with PBE-GGA was carried out for crystalline Mg4BeSe at its relaxed geometry.

Cell and atoms, written as POSCAR:
```
Mg4BeSe
1.0
0.0000 4.0019 4.0019
4.0019 0.0000 4.0019
4.0019 4.0019 0.0000
Mg Be Se
4 1 1
Direct
0.8751 0.3750 0.3750
0.3750 0.3750 0.8751
0.3750 0.8751 0.3750
0.3750 0.3750 0.3750
0.0000 0.0000 0.0000
0.7500 0.7500 0.7500
```

## Properties
The magnetization is 0.0 μB per cell. The calculation puts the energy relative to the elements, uncorrected at 2.26 eV/f.u. For the volume, the calculation gives 21.4 A^3/atom.

Entry 7:
A plane-wave DFT calculation with PBE-GGA was carried out for crystalline Mg2BeSe at its relaxed geometry.

Cell and atoms, written as POSCAR:
```
Mg2BeSe
1.0
3.4411 -0.0331 0.0000
-1.5619 3.0664 0.0000
0.0000 0.0000 7.8948
Be Mg Se
1 2 1
Direct
0.5000 0.5000 0.7074
0.0000 0.0000 0.9555
0.5000 0.5000 0.2814
0.0000 0.0000 0.5558
```

## Properties
The magnetization is 0.0 μB per cell. For the excess energy over the best structure of this formula in the dataset, the calculation gives 16.9 kJ per mole of atoms. The calculation puts the energy relative to the elements, uncorrected at 0.01 eV/f.u. For the volume, the calculation gives 20.7 A^3/atom.

Entry 8:
A plane-wave DFT calculation with PBE-GGA was carried out for crystalline MgBe2Se3 at its relaxed geometry.

Cell and atoms, written as POSCAR:
```
MgBe2Se3
1.0
6.6228 -0.0246 -1.0855
-3.6117 5.5514 -1.0855
0.0333 0.0611 6.5871
Mg Be Se
2 4 6
Direct
0.0987 0.9228 0.5015
0.9228 0.0987 0.0015
0.5917 0.4253 0.0076
0.7578 0.2718 0.5086
0.4253 0.5917 0.5076
0.2718 0.7578 0.0086
0.0548 0.2588 0.4069
0.2588 0.0548 0.9069
0.8830 0.4219 0.8750
0.4219 0.8830 0.3750
0.5240 0.6845 0.8717
0.6845 0.5240 0.3717
```

## Properties
The magnetization is 0.0 μB per cell. The calculation puts the energy relative to the elements, uncorrected at -5.45 eV/f.u. For the volume, the calculation gives 20.2 A^3/atom.

Entry 9:
A plane-wave DFT calculation with PBE-GGA was carried out for crystalline MgBeSe2 at its relaxed geometry.

Cell and atoms, written as POSCAR:
```
MgBeSe2
1.0
-4.1104 -3.3368 4.6720
-4.5601 -5.1728 1.5181
3.1804 -2.1399 0.7922
Be Mg Se
1 1 2
Direct
0.4300 0.4300 0.5342
0.8054 0.8054 0.8717
0.9926 0.9926 0.7519
0.2720 0.2720 0.3423
```

## Properties
The magnetization is 0.0 μB per cell. For the excess energy over the best structure of this formula in the dataset, the calculation gives 18.8 kJ per mole of atoms. The calculation puts the energy relative to the elements, uncorrected at -3.12 eV/f.u. For the volume, the calculation gives 24.4 A^3/atom.

Entry 10:
A plane-wave DFT calculation with PBE-GGA was carried out for crystalline Mg2BeSe at its relaxed geometry.

Cell and atoms, written as POSCAR:
```
Mg2BeSe
1.0
7.1335 0.1066 0.0649
6.1166 3.6722 0.0649
6.1166 1.7444 3.2321
Be Mg Se
1 2 1
Direct
0.7500 0.7500 0.7500
0.9972 0.9972 0.9972
0.5028 0.5028 0.5028
0.2500 0.2500 0.2500
```

## Properties
The magnetization is 0.0 μB per cell. For the excess energy over the best structure of this formula in the dataset, the calculation gives 10.9 kJ per mole of atoms. The calculation puts the energy relative to the elements, uncorrected at -0.23 eV/f.u. For the volume, the calculation gives 20.3 A^3/atom.

Entry 11:
A plane-wave DFT calculation with PBE-GGA was carried out for crystalline MgBeSe4 at its relaxed geometry.

Cell and atoms, written as POSCAR:
```
MgBeSe4
1.0
0.0000 4.0323 4.0323
4.0323 0.0000 4.0323
4.0323 4.0323 0.0000
Mg Be Se
1 1 4
Direct
0.0000 0.0000 0.0000
0.7500 0.7500 0.7500
0.8728 0.3757 0.3757
0.3757 0.3757 0.8728
0.3757 0.8728 0.3757
0.3757 0.3757 0.3757
```

## Properties
The magnetization is 0.0 μB per cell. The calculation puts the energy relative to the elements, uncorrected at 3.86 eV/f.u. For the volume, the calculation gives 21.9 A^3/atom.

Entry 12:
A plane-wave DFT calculation with PBE-GGA was carried out for crystalline Mg2BeSe at its relaxed geometry.

Cell and atoms, written as POSCAR:
```
Mg2BeSe
1.0
-0.0808 0.8794 -3.5712
-0.5046 -3.5410 -0.8606
-5.7985 0.7495 0.3157
Be Mg Se
1 2 1
Direct
0.5000 0.5000 0.8466
0.0000 0.0000 0.9271
0.5000 0.5000 0.3031
0.0000 0.0000 0.4231
```

## Properties
The magnetization is 0.0 μB per cell. For the excess energy over the best structure of this formula in the dataset, the calculation gives 14.3 kJ per mole of atoms. The calculation puts the energy relative to the elements, uncorrected at -0.09 eV/f.u. For the volume, the calculation gives 19.8 A^3/atom.